(1)
This record from Alexandria describes Ca2NiHgGe after structural relaxation. The functional is PBE-GGA.

Output
Energy above the most stable polymorph in this dataset: 353.7 meV/atom
Mass density: 5.20 g/cm3
Total DFT energy (no corrections): -2.971 eV/atom
Formation enthalpy at 0 K: -0.030 eV/atom

Lattice parameters (Å, degrees): 5.1832 4.8996 5.1832 90.00 90.00 90.00
Fractional coordinates of all 5 atoms:
Ni: 0.0000 0.0000 0.0000
Hg: 0.0000 0.5000 0.0000
Ca: 0.0000 0.0000 0.5000
Ca: 0.5000 0.0000 0.0000
Ge: 0.5000 0.5000 0.5000


(2)
This record from Alexandria describes Sc3Zn12Tc5 after structural relaxation. The functional is PBE-GGA.

Output
Mass density: 5.50 g/cm3
Total DFT energy (no corrections): -3.407 eV/atom
Formation enthalpy at 0 K: 0.899 eV/atom

Lattice parameters (Å, degrees): 13.0295 13.0295 13.0295 109.47 109.47 109.47
Fractional coordinates of all 80 atoms:
Tc: 0.1250 0.3750 0.2500
Tc: 0.7500 0.1250 0.8750
Tc: 0.7500 0.6250 0.3750
Tc: 0.6250 0.7500 0.8750
Tc: 0.0000 0.5000 0.5000
Tc: 0.0000 0.5000 0.0000
Tc: 0.5000 0.5000 0.5000
Tc: 0.1250 0.7500 0.3750
Tc: 0.6250 0.8750 0.2500
Tc: 0.0000 0.0000 0.5000
Tc: 0.2500 0.8750 0.1250
Tc: 0.3750 0.1250 0.7500
Tc: 0.8750 0.6250 0.7500
Tc: 0.5000 0.0000 0.0000
Tc: 0.5000 0.5000 0.0000
Tc: 0.3750 0.2500 0.1250
Tc: 0.0000 0.0000 0.0000
Tc: 0.8750 0.2500 0.6250
Tc: 0.2500 0.3750 0.6250
Tc: 0.5000 0.0000 0.5000
Zn: 0.7183 0.5874 0.1651
Zn: 0.0777 0.1651 0.4468
Zn: 0.4126 0.1309 0.5777
Zn: 0.9126 0.0777 0.6309
Zn: 0.5874 0.7183 0.6651
Zn: 0.1651 0.0777 0.9468
Zn: 0.4468 0.6651 0.0777
Zn: 0.4126 0.2817 0.3349
Zn: 0.5874 0.8691 0.4223
Zn: 0.9223 0.0874 0.8691
Zn: 0.1309 0.4126 0.0777
Zn: 0.4223 0.0532 0.3349
Zn: 0.6309 0.0532 0.2183
Zn: 0.0777 0.9126 0.1309
Zn: 0.0532 0.4223 0.8349
Zn: 0.6651 0.2183 0.5874
Zn: 0.6651 0.4468 0.5777
Zn: 0.9468 0.3691 0.2817
Zn: 0.3691 0.9468 0.7817
Zn: 0.9468 0.5777 0.1651
Zn: 0.5777 0.6309 0.4126
Zn: 0.2817 0.4126 0.8349
Zn: 0.8691 0.5874 0.9223
Zn: 0.8349 0.9126 0.2817
Zn: 0.8349 0.9223 0.0532
Zn: 0.0874 0.9223 0.3691
Zn: 0.2183 0.6651 0.0874
Zn: 0.9126 0.8349 0.7817
Zn: 0.5777 0.9468 0.6651
Zn: 0.4468 0.7817 0.8691
Zn: 0.7817 0.3349 0.9126
Zn: 0.3349 0.5532 0.4223
Zn: 0.7183 0.1309 0.0532
Zn: 0.6309 0.5777 0.9126
Zn: 0.0874 0.1651 0.2183
Zn: 0.1651 0.0874 0.7183
Zn: 0.1309 0.7183 0.5532
Zn: 0.3349 0.7817 0.4126
Zn: 0.7817 0.4468 0.3691
Zn: 0.3691 0.4223 0.0874
Zn: 0.2183 0.5532 0.6309
Zn: 0.2817 0.8691 0.9468
Zn: 0.4223 0.3691 0.5874
Zn: 0.5532 0.3349 0.9223
Zn: 0.9223 0.8349 0.5532
Zn: 0.8691 0.2817 0.4468
Zn: 0.0532 0.6309 0.7183
Zn: 0.5532 0.2183 0.1309
Sc: 0.2500 0.6250 0.8750
Sc: 0.1250 0.2500 0.8750
Sc: 0.3750 0.7500 0.6250
Sc: 0.3750 0.6250 0.2500
Sc: 0.6250 0.3750 0.7500
Sc: 0.8750 0.7500 0.1250
Sc: 0.2500 0.1250 0.3750
Sc: 0.7500 0.3750 0.1250
Sc: 0.8750 0.1250 0.2500
Sc: 0.7500 0.8750 0.6250
Sc: 0.1250 0.8750 0.7500
Sc: 0.6250 0.2500 0.3750